VASP calculation (PBE) on a relaxed structure of Ba3Ca7Hg4.

Structure (POSCAR):
```
Ba3Ca7Hg4
1.0
9.6281 -2.6813 0.0000
9.6281 2.6813 0.0000
-6.5610 0.0000 10.2872
Ba Ca Hg
3 7 4
direct
0.0000 0.0000 0.0000
0.3117 0.3117 0.2961
0.6883 0.6883 0.7039
0.0000 0.0000 0.5000
0.1700 0.1700 0.4244
0.3134 0.3134 0.9733
0.4885 0.4885 0.7174
0.5115 0.5115 0.2826
0.6866 0.6866 0.0267
0.8300 0.8300 0.5756
0.1097 0.1097 0.8258
0.3260 0.3260 0.7232
0.6740 0.6740 0.2768
0.8903 0.8903 0.1742
```

- M_tot: 0.000 μB/atom
- Formation enthalpy at 0 K: -0.299 eV per atom

VASP calculation (PBE) on a relaxed structure of Nd6Bi2Te3P.

Structure (POSCAR):
```
Nd6Bi2Te3P
1.0
9.8389 -2.2231 0.0000
9.8389 2.2231 0.0000
-2.0939 0.0000 8.8016
Nd Bi Te P
6 2 3 1
direct
0.0013 0.0013 0.2833
0.3357 0.3357 0.9174
0.3502 0.3502 0.4250
0.6498 0.6498 0.5750
0.6643 0.6643 0.0826
0.9987 0.9987 0.7167
0.1669 0.1669 0.8333
0.8331 0.8331 0.1667
0.1713 0.1713 0.3377
0.5000 0.5000 0.0000
0.8287 0.8287 0.6623
0.5000 0.5000 0.5000
```

- Raw formation energy: -15.8 eV per formula unit
- M_tot: 0.000 μB/atom

VASP calculation (PBE) on a relaxed structure of TaOsSe4.

Structure (POSCAR):
```
TaOsSe4
1.0
0.0000 3.8097 3.8097
3.8097 0.0000 3.8097
3.8097 3.8097 0.0000
Ta Os Se
1 1 4
direct
0.0000 0.0000 0.0000
0.7500 0.7500 0.7500
0.3755 0.3755 0.3755
0.3755 0.3755 0.8734
0.3755 0.8734 0.3755
0.8734 0.3755 0.3755
```

- Raw formation energy: 8.6 eV per formula unit
- M_tot: 0.000 μB/atom

VASP calculation (PBE) on a relaxed structure of TmCo4Ni8.

Structure (POSCAR):
```
TmCo4Ni8
1.0
-4.1126 4.1126 2.3256
4.1126 -4.1126 2.3256
4.1126 4.1126 -2.3256
Tm Co Ni
1 4 8
direct
0.0000 0.0000 0.0000
0.0000 0.0000 0.5000
0.0000 0.5000 0.0000
0.5000 0.0000 0.0000
0.5000 0.5000 0.5000
0.0000 0.3548 0.3548
0.0000 0.6452 0.6452
0.2810 0.5000 0.7810
0.3548 0.0000 0.3548
0.5000 0.2810 0.7810
0.5000 0.7190 0.2190
0.6452 0.0000 0.6452
0.7190 0.5000 0.2190
```

- M_tot: 0.785 μB/atom
- Formation enthalpy at 0 K: -0.091 eV per atom

VASP calculation (PBE) on a relaxed structure of Pa2NbGa6.

Structure (POSCAR):
```
Pa2NbGa6
1.0
7.8629 0.0000 0.0000
-3.9315 6.8095 0.0000
0.0000 0.0000 3.1729
Pa Nb Ga
2 1 6
direct
0.3333 0.6667 0.0000
0.6667 0.3333 0.0000
0.0000 0.0000 0.0000
0.0000 0.3188 0.5000
0.0000 0.6812 0.5000
0.3188 0.0000 0.5000
0.3188 0.3188 0.5000
0.6812 0.0000 0.5000
0.6812 0.6812 0.5000
```

- M_tot: 0.000 μB/atom
- Formation enthalpy at 0 K: -0.215 eV per atom

VASP calculation (PBE) on a relaxed structure of Cs3Pr2HoO6.

Structure (POSCAR):
```
Cs3Pr2HoO6
1.0
3.1803 -5.5093 0.0000
3.1803 5.5093 0.0000
-2.1154 0.0000 6.9384
Cs Pr Ho O
3 2 1 6
direct
0.0000 0.0000 0.0000
0.3344 0.6656 0.0000
0.6656 0.3344 0.0000
0.1667 0.8333 0.5000
0.8333 0.1667 0.5000
0.5000 0.5000 0.5000
0.1242 0.4439 0.3320
0.2362 0.2362 0.6688
0.4439 0.1242 0.3320
0.5561 0.8758 0.6680
0.7638 0.7638 0.3312
0.8758 0.5561 0.6680
```

- Raw formation energy: -30.3 eV per formula unit
- M_tot: 0.000 μB/atom

VASP calculation (PBE) on a relaxed structure of BRuW2.

Structure (POSCAR):
```
BRuW2
1.0
7.2409 0.0000 0.0000
0.0000 7.2409 0.0000
0.0000 0.0000 4.3872
B Ru W
4 4 8
direct
0.0000 0.0000 0.0000
0.0000 0.5000 0.2500
0.5000 0.0000 0.7500
0.5000 0.5000 0.5000
0.0000 0.0000 0.5000
0.0000 0.5000 0.7500
0.5000 0.0000 0.2500
0.5000 0.5000 0.0000
0.1450 0.2500 0.1250
0.2500 0.6450 0.3750
0.2500 0.8550 0.8750
0.3550 0.2500 0.6250
0.6450 0.7500 0.6250
0.7500 0.1450 0.8750
0.7500 0.3550 0.3750
0.8550 0.7500 0.1250
```

- M_tot: 0.000 μB/atom
- Formation enthalpy at 0 K: 0.344 eV per atom

VASP calculation (PBE) on a relaxed structure of TcOs2Br.

Structure (POSCAR):
```
TcOs2Br
1.0
2.9035 0.0000 0.0000
0.0000 4.5871 0.0000
0.0000 0.0000 9.1481
Tc Os Br
2 4 2
direct
0.0000 0.0000 0.0000
0.5000 0.5000 0.5000
0.0000 0.0000 0.4724
0.0000 0.5000 0.2304
0.5000 0.0000 0.7304
0.5000 0.5000 0.9724
0.0000 0.5000 0.7311
0.5000 0.0000 0.2311
```

- Raw formation energy: 4.6 eV per formula unit
- M_tot: 0.000 μB/atom